No. 1
Computed, not measured: crystalline Ac4DyEr at its relaxed geometry at the GGA-PBE level of DFT. Values from VASP.

**Space-group type**: F-43m
**Density of states at the Fermi level**: 11.00 states/eV per cell
**Uncorrected energy**: -23.21 eV per cell
**Crystal system**: cubic
**E above lowest polymorph**: 226 meV/atom

Geometry as Quantum ESPRESSO input:
```
&SYSTEM
  ibrav = 0, nat = 6, ntyp = 3
/
ATOMIC_SPECIES
Ac 227.00 Ac.upf
Dy 162.50 Dy.upf
Er 167.26 Er.upf
CELL_PARAMETERS angstrom
0.000 5.035 5.035
5.035 0.000 5.035
5.035 5.035 0.000
ATOMIC_POSITIONS crystal
Ac 0.125 0.125 0.125
Ac 0.125 0.125 0.625
Ac 0.125 0.625 0.125
Ac 0.625 0.125 0.125
Dy 0.750 0.750 0.750
Er 0.500 0.500 0.500
```

No. 2
Computed, not measured: crystalline AcDy3Er6 at its relaxed geometry at the GGA-PBE level of DFT. Values from VASP.

**Space-group type**: P-1
**Density of states at the Fermi level**: 15.41 states/eV per cell
**Uncorrected energy**: -43.01 eV per cell
**Crystal system**: triclinic

Geometry as Quantum ESPRESSO input:
```
&SYSTEM
  ibrav = 0, nat = 10, ntyp = 3
/
ATOMIC_SPECIES
Ac 227.00 Ac.upf
Dy 162.50 Dy.upf
Er 167.26 Er.upf
CELL_PARAMETERS angstrom
5.502 0.000 0.000
-0.035 8.427 0.000
-2.733 -3.956 7.248
ATOMIC_POSITIONS crystal
Ac 0.000 0.000 0.000
Dy 0.234 0.280 0.468
Dy 0.500 0.500 0.000
Dy 0.766 0.720 0.532
Er 0.137 0.597 0.273
Er 0.345 0.045 0.688
Er 0.382 0.709 0.765
Er 0.618 0.291 0.235
Er 0.655 0.955 0.312
Er 0.863 0.403 0.727
```

No. 3
Computed, not measured: crystalline AcDy2Er at its relaxed geometry at the GGA-PBE level of DFT. Values from VASP.

**Space-group type**: P4/mmm
**Density of states at the Fermi level**: 6.68 states/eV per cell
**Uncorrected energy**: -17.62 eV per cell
**Crystal system**: tetragonal
**E above lowest polymorph**: 0 meV/atom

Geometry as Quantum ESPRESSO input:
```
&SYSTEM
  ibrav = 0, nat = 4, ntyp = 3
/
ATOMIC_SPECIES
Ac 227.00 Ac.upf
Dy 162.50 Dy.upf
Er 167.26 Er.upf
CELL_PARAMETERS angstrom
5.136 0.000 0.000
0.000 5.136 0.000
0.000 0.000 5.183
ATOMIC_POSITIONS crystal
Ac 0.000 0.000 0.000
Dy 0.000 0.500 0.500
Dy 0.500 0.000 0.500
Er 0.500 0.500 0.000
```

No. 4
Computed, not measured: crystalline AcDy7Er4 at its relaxed geometry at the GGA-PBE level of DFT. Values from VASP.

**Space-group type**: P-1
**Density of states at the Fermi level**: 16.54 states/eV per cell
**Uncorrected energy**: -54.43 eV per cell
**Crystal system**: triclinic

Geometry as Quantum ESPRESSO input:
```
&SYSTEM
  ibrav = 0, nat = 12, ntyp = 3
/
ATOMIC_SPECIES
Ac 227.00 Ac.upf
Dy 162.50 Dy.upf
Er 167.26 Er.upf
CELL_PARAMETERS angstrom
6.214 0.000 0.000
0.001 7.194 0.000
2.080 0.005 8.611
ATOMIC_POSITIONS crystal
Ac 0.000 0.000 0.000
Dy 0.000 0.500 0.000
Dy 0.225 0.000 0.339
Dy 0.280 0.746 0.662
Dy 0.500 0.255 0.000
Dy 0.500 0.745 0.000
Dy 0.720 0.254 0.338
Dy 0.775 0.000 0.661
Er 0.220 0.500 0.335
Er 0.280 0.254 0.663
Er 0.720 0.746 0.337
Er 0.780 0.500 0.665
```

No. 5
Computed, not measured: crystalline Ac8Dy2Er3 at its relaxed geometry at the GGA-PBE level of DFT. Values from VASP.

**Space-group type**: Cmmm
**Density of states at the Fermi level**: 16.53 states/eV per cell
**Uncorrected energy**: -52.76 eV per cell
**Crystal system**: orthorhombic

Geometry as Quantum ESPRESSO input:
```
&SYSTEM
  ibrav = 0, nat = 13, ntyp = 3
/
ATOMIC_SPECIES
Ac 227.00 Ac.upf
Dy 162.50 Dy.upf
Er 167.26 Er.upf
CELL_PARAMETERS angstrom
4.249 -10.310 0.000
4.249 10.310 0.000
0.000 0.000 6.095
ATOMIC_POSITIONS crystal
Ac 0.126 0.874 0.000
Ac 0.189 0.400 0.500
Ac 0.324 0.676 0.000
Ac 0.400 0.189 0.500
Ac 0.600 0.811 0.500
Ac 0.676 0.324 0.000
Ac 0.811 0.600 0.500
Ac 0.874 0.126 0.000
Dy 0.237 0.763 0.500
Dy 0.763 0.237 0.500
Er 0.000 0.000 0.500
Er 0.298 0.298 0.000
Er 0.702 0.702 0.000
```

No. 6
Computed, not measured: crystalline AcDy2Er at its relaxed geometry at the GGA-PBE level of DFT. Values from VASP.

**Space-group type**: R3m
**Density of states at the Fermi level**: 16.33 states/eV per cell
**Uncorrected energy**: -52.81 eV per cell
**Crystal system**: trigonal
**E above lowest polymorph**: 5 meV/atom

Geometry as Quantum ESPRESSO input:
```
&SYSTEM
  ibrav = 0, nat = 12, ntyp = 3
/
ATOMIC_SPECIES
Ac 227.00 Ac.upf
Dy 162.50 Dy.upf
Er 167.26 Er.upf
CELL_PARAMETERS angstrom
3.671 0.000 0.000
-1.836 3.179 0.000
0.000 0.000 35.296
ATOMIC_POSITIONS crystal
Ac 0.000 0.000 0.000
Ac 0.333 0.667 0.667
Ac 0.667 0.333 0.333
Dy 0.000 0.000 0.579
Dy 0.000 0.000 0.754
Dy 0.333 0.667 0.245
Dy 0.333 0.667 0.421
Dy 0.667 0.333 0.087
Dy 0.667 0.333 0.912
Er 0.000 0.000 0.166
Er 0.333 0.667 0.833
Er 0.667 0.333 0.499
```

No. 7
Computed, not measured: crystalline AcDy12Er6 at its relaxed geometry at the GGA-PBE level of DFT. Values from VASP.

**Space-group type**: R-3m
**Density of states at the Fermi level**: 23.35 states/eV per cell
**Uncorrected energy**: -78.81 eV per cell
**Crystal system**: trigonal

Geometry as Quantum ESPRESSO input:
```
&SYSTEM
  ibrav = 0, nat = 19, ntyp = 3
/
ATOMIC_SPECIES
Ac 227.00 Ac.upf
Dy 162.50 Dy.upf
Er 167.26 Er.upf
CELL_PARAMETERS angstrom
7.414 4.281 3.428
-7.414 4.281 3.428
0.000 -8.561 3.428
ATOMIC_POSITIONS crystal
Ac 0.000 0.000 0.000
Dy 0.112 0.500 0.888
Dy 0.112 0.888 0.500
Dy 0.159 0.382 0.382
Dy 0.382 0.159 0.382
Dy 0.382 0.382 0.159
Dy 0.500 0.112 0.888
Dy 0.500 0.888 0.112
Dy 0.618 0.618 0.841
Dy 0.618 0.841 0.618
Dy 0.841 0.618 0.618
Dy 0.888 0.112 0.500
Dy 0.888 0.500 0.112
Er 0.268 0.697 0.697
Er 0.303 0.303 0.732
Er 0.303 0.732 0.303
Er 0.697 0.268 0.697
Er 0.697 0.697 0.268
Er 0.732 0.303 0.303
```

No. 8
Computed, not measured: crystalline AcDy12Er7 at its relaxed geometry at the GGA-PBE level of DFT. Values from VASP.

**Space-group type**: Im-3m
**Density of states at the Fermi level**: 25.97 states/eV per cell
**Uncorrected energy**: -77.56 eV per cell
**Crystal system**: cubic
**E above lowest polymorph**: 445 meV/atom

Geometry as Quantum ESPRESSO input:
```
&SYSTEM
  ibrav = 0, nat = 20, ntyp = 3
/
ATOMIC_SPECIES
Ac 227.00 Ac.upf
Dy 162.50 Dy.upf
Er 167.26 Er.upf
CELL_PARAMETERS angstrom
-5.667 5.667 5.667
5.667 -5.667 5.667
5.667 5.667 -5.667
ATOMIC_POSITIONS crystal
Ac 0.000 0.000 0.000
Dy 0.000 0.267 0.733
Dy 0.000 0.733 0.267
Dy 0.267 0.000 0.733
Dy 0.267 0.267 0.534
Dy 0.267 0.534 0.267
Dy 0.267 0.733 0.000
Dy 0.466 0.733 0.733
Dy 0.534 0.267 0.267
Dy 0.733 0.000 0.267
Dy 0.733 0.267 0.000
Dy 0.733 0.466 0.733
Dy 0.733 0.733 0.466
Er 0.000 0.000 0.500
Er 0.000 0.500 0.000
Er 0.000 0.500 0.500
Er 0.500 0.000 0.000
Er 0.500 0.000 0.500
Er 0.500 0.500 0.000
Er 0.500 0.500 0.500
```